# 1
Here is a geometry-optimized Cd5BiPd6 structure from the Alexandria database. Energies are from PBE.

Unit cell a=4.617 b=6.778 c=7.290 alpha=90.00 beta=107.37 gamma=90.00
Fractional coordinates of all 12 atoms:
Pd 0.500 0.251 0.000
Pd 0.168 0.745 0.335
Pd 0.832 0.745 0.665
Pd 0.500 0.749 0.000
Pd 0.168 0.255 0.335
Pd 0.832 0.255 0.665
Bi 0.000 0.000 0.000
Cd 0.329 0.000 0.656
Cd 0.000 0.500 0.000
Cd 0.671 0.000 0.344
Cd 0.334 0.500 0.668
Cd 0.666 0.500 0.332

Space-group type = P2/m
Spin magnetization = 0.00 μB/f.u.
Calculated formation energy = -0.35 eV per atom

# 2
Here is a geometry-optimized FeTc5Ge structure from the Alexandria database. Energies are from PBE.

Unit cell a=5.247 b=5.247 c=9.372 alpha=79.37 beta=79.37 gamma=55.26
Last column: magnetic moment on the atom in μB.
Fractional coordinates of all 14 atoms:
Tc 0.634 0.648 0.474  -0.01
Tc 0.758 0.765 0.187  0.03
Tc 0.242 0.235 0.813  0.03
Tc 0.352 0.366 0.026  -0.01
Tc 0.648 0.634 0.974  -0.01
Tc 0.235 0.242 0.313  0.03
Tc 0.366 0.352 0.526  -0.01
Tc 0.765 0.758 0.687  0.03
Tc 0.750 0.250 0.250  -0.02
Tc 0.250 0.750 0.750  -0.02
Ge 0.248 0.752 0.250  -0.01
Ge 0.752 0.248 0.750  -0.01
Fe 0.000 0.000 0.500  2.20
Fe 0.000 0.000 0.000  2.20

Space-group type = C2/c
Spin magnetization = 2.22 μB/f.u.
Calculated formation energy = 0.18 eV per atom

# 3
Here is a geometry-optimized TlGaHg2 structure from the Alexandria database. Energies are from PBE.

Unit cell a=3.473 b=3.473 c=8.540 alpha=90.00 beta=90.00 gamma=90.00
Fractional coordinates of all 4 atoms:
Tl 0.500 0.500 0.500
Ga 0.500 0.500 0.000
Hg 0.000 0.000 0.215
Hg 0.000 0.000 0.785

Space-group type = P4/mmm
Spin magnetization = 0.00 μB/f.u.
Calculated formation energy = 0.05 eV per atom

# 4
Here is a geometry-optimized VZnCoRe structure from the Alexandria database. Energies are from PBE.

Unit cell a=4.206 b=4.206 c=4.206 alpha=60.00 beta=60.00 gamma=60.00
Last column: magnetic moment on the atom in μB.
Fractional coordinates of all 4 atoms:
Zn 0.500 0.500 0.500  0.00
V 0.000 0.000 0.000  -0.10
Co 0.750 0.750 0.750  0.51
Re 0.250 0.250 0.250  0.21

Space-group type = F-43m
Spin magnetization = 0.61 μB/f.u.
Calculated formation energy = 0.07 eV per atom

# 5
Here is a geometry-optimized Mg10Ga3Ag3 structure from the Alexandria database. Energies are from PBE.

Unit cell a=5.678 b=8.119 c=8.119 alpha=120.00 beta=90.00 gamma=90.00
Fractional coordinates of all 16 atoms:
Mg 0.500 0.000 0.747
Mg 0.500 0.747 0.000
Mg 0.000 0.000 0.246
Mg 0.500 0.253 0.253
Mg 0.749 0.667 0.333
Mg 0.000 0.754 0.754
Mg 0.749 0.333 0.667
Mg 0.251 0.333 0.667
Mg 0.000 0.246 0.000
Mg 0.251 0.667 0.333
Ga 0.500 0.394 0.000
Ga 0.500 0.000 0.394
Ga 0.500 0.606 0.606
Ag 0.000 0.397 0.397
Ag 0.000 0.000 0.603
Ag 0.000 0.603 0.000

Space-group type = P-62m
Spin magnetization = 0.00 μB/f.u.
Calculated formation energy = -0.16 eV per atom

# 6
Here is a geometry-optimized Nb3Pd7Pt2 structure from the Alexandria database. Energies are from PBE.

Unit cell a=2.823 b=4.398 c=16.943 alpha=89.99 beta=94.79 gamma=90.00
Fractional coordinates of all 12 atoms:
Pd 0.933 0.500 0.867
Pd 0.000 0.000 0.000
Pd 0.067 0.500 0.133
Pd 0.591 0.000 0.182
Pd 0.716 0.500 0.433
Pd 0.409 0.000 0.818
Pd 0.284 0.500 0.567
Nb 0.500 0.500 0.000
Nb 0.169 0.000 0.337
Nb 0.831 0.000 0.663
Pt 0.639 0.500 0.278
Pt 0.361 0.500 0.722

Space-group type = P-1
Spin magnetization = 0.00 μB/f.u.
Calculated formation energy = -0.06 eV per atom

# 7
Here is a geometry-optimized Ho2Tc3B4 structure from the Alexandria database. Energies are from PBE.

Unit cell a=5.333 b=5.333 c=5.665 alpha=106.08 beta=106.08 gamma=114.32
Fractional coordinates of all 9 atoms:
B 0.047 0.620 0.667
B 0.620 0.047 0.667
B 0.380 0.953 0.333
B 0.953 0.380 0.333
Ho 0.661 0.661 0.321
Ho 0.339 0.339 0.679
Tc 0.500 0.000 0.000
Tc 0.000 0.500 0.000
Tc 0.000 0.000 0.000

Space-group type = Fmmm
Spin magnetization = 0.00 μB/f.u.
ΔE to the lowest computed polymorph = 0.400 eV/atom
Calculated formation energy = -0.05 eV per atom

# 8
Here is a geometry-optimized K2SrRu structure from the Alexandria database. Energies are from PBE.

Unit cell a=3.686 b=6.019 c=6.645 alpha=90.00 beta=90.00 gamma=90.00
Last column: magnetic moment on the atom in μB.
Fractional coordinates of all 4 atoms:
Sr 0.500 0.500 0.750  -0.04
K 0.000 0.000 0.471  -0.01
K 0.000 0.000 0.029  -0.01
Ru 0.500 0.500 0.250  1.58

Space-group type = Pmmm
Spin magnetization = 1.54 μB/f.u.
ΔE to the lowest computed polymorph = 0.378 eV/atom
Calculated formation energy = 1.02 eV per atom